Record 1
LiSm3Ir | GGA-PBE | optimized geometry

extended XYZ file:
```
20
Lattice="-6.127 -1.726 -1.221 3.203 -6.073 -7.492 -0.916 -3.146 9.046" Properties=species:S:1:pos:R:3 pbc="T T T"
Sm -2.361 -5.709 2.719
Sm 0.869 -2.135 -1.344
Sm -3.247 -4.911 6.034
Sm -5.840 -5.783 3.082
Sm -6.142 -3.062 0.750
Sm -0.592 -6.034 -5.700
Sm -4.709 -8.810 1.678
Sm -2.662 -2.987 0.388
Sm -1.479 -5.236 -2.386
Sm 2.302 -7.883 -0.417
Sm -1.177 -7.958 -0.054
Sm 2.000 -5.162 -2.748
Li -2.366 -2.114 4.140
Li -1.474 -8.830 -3.807
Li -3.830 -6.007 -0.211
Li -0.009 -4.938 0.545
Ir -4.595 -1.294 -0.916
Ir -2.993 -4.331 -4.662
Ir 1.672 -6.504 -7.797
Ir 0.070 -3.468 -4.051
```

E_tot in eV/atom: -5.285
ΔH_f (0 K) in eV/atom: -0.30

=====

Record 2
LiSm4Ir3 | GGA-PBE | optimized geometry

extended XYZ file:
```
8
Lattice="-4.574 -0.951 -1.787 -0.938 -2.926 3.948 0.206 7.533 2.465" Properties=species:S:1:pos:R:3 pbc="T T T"
Li -2.287 -0.475 -0.893
Sm -0.661 1.448 0.920
Sm -1.889 4.146 2.628
Sm -3.418 -0.489 1.998
Sm -4.645 2.208 3.706
Ir -1.817 1.489 3.847
Ir -0.469 -1.463 1.974
Ir -3.490 2.167 0.779
```

E_tot in eV/atom: -6.483
ΔH_f (0 K) in eV/atom: -0.56

=====

Record 3
LiSm3Ir | GGA-PBE | optimized geometry

extended XYZ file:
```
5
Lattice="-2.325 -3.732 -3.379 2.833 -4.047 2.521 -4.162 -0.670 3.603" Properties=species:S:1:pos:R:3 pbc="T T T"
Ir 0.000 0.000 0.000
Sm -1.162 -1.866 -1.690
Sm 1.417 -2.023 1.260
Sm -2.081 -0.335 1.802
Li -1.827 -4.224 1.372
```

E_tot in eV/atom: -5.176
ΔH_f (0 K) in eV/atom: -0.19